# 1
{
  "formula": "Pa2TiCo4Ge3",
  "functional": "PBE",
  "state": "optimized geometry",
  "lattice_angstrom": [[3.9505, 0.0000, 0.0000], [0.0000, 3.9505, 0.0000], [0.0000, 0.0000, 10.0936]],
  "species": ["Co", "Ge", "Co", "Ge", "Ge", "Ti", "Co", "Pa", "Pa", "Co"],
  "frac_coords": [[0.5000, 0.5000, 0.0000], [0.0000, 0.5000, 0.1280], [0.0000, 0.0000, 0.0000], [0.5000, 0.0000, 0.8720], [0.0000, 0.0000, 0.5000], [0.5000, 0.5000, 0.5000], [0.0000, 0.5000, 0.3589], [0.5000, 0.0000, 0.2457], [0.0000, 0.5000, 0.7543], [0.5000, 0.0000, 0.6411]],
  "e_form_mev_per_atom": -545.5,
  "volume_a3_per_atom": 15.753
}

# 2
{
  "formula": "Mg2MnSi",
  "functional": "PBE",
  "state": "optimized geometry",
  "lattice_angstrom": [[5.2150, -0.0137, -0.0158], [2.2230, 4.7175, 0.0158], [-3.3730, -2.8990, 2.7231]],
  "species": ["Mg", "Mn", "Si", "Mg"],
  "frac_coords": [[0.7374, 0.2374, 0.5000], [0.4678, 0.4678, 0.0000], [0.2795, 0.7795, 0.5000], [0.0153, 0.0153, 0.0000]],
  "e_tot_ev_per_atom": -4.375,
  "volume_a3_per_atom": 16.792
}

# 3
{
  "formula": "NbTeAuN2",
  "functional": "PBE",
  "state": "optimized geometry",
  "lattice_angstrom": [[4.0074, 0.0000, 0.0000], [0.0000, 4.0074, 0.0000], [0.0000, 0.0000, 6.1255]],
  "species": ["N", "Te", "Nb", "Au", "N"],
  "frac_coords": [[0.5000, 0.0000, 0.0000], [0.0000, 0.0000, 0.5000], [0.0000, 0.0000, 0.0000], [0.5000, 0.5000, 0.5000], [0.0000, 0.5000, 0.0000]],
  "polymorph_energy_ev_per_atom": 0.0000,
  "volume_a3_per_atom": 19.674
}

# 4
{
  "formula": "SrPuPt",
  "functional": "PBE",
  "state": "optimized geometry",
  "lattice_angstrom": [[-6.5794, -0.2813, 0.8213], [-0.0557, -3.8150, -1.7526], [0.5011, 0.3968, 4.1497]],
  "species": ["Sr", "Pu", "Pt"],
  "frac_coords": [[0.7409, 0.6667, 0.3333], [0.2358, 0.3333, 0.6667], [0.0233, 0.0000, 0.0000]],
  "e_form_mev_per_atom": -401.0,
  "polymorph_energy_ev_per_atom": 0.1807,
  "volume_a3_per_atom": 33.773
}

# 5
{
  "formula": "Ac2H2SeCl",
  "functional": "PBE",
  "state": "optimized geometry",
  "lattice_angstrom": [[4.2503, 0.0000, 0.0000], [-2.1251, 3.6808, 0.0000], [0.0000, 0.0000, 8.4101]],
  "species": ["Ac", "H", "H", "Ac", "Se", "Cl"],
  "frac_coords": [[0.6667, 0.3333, 0.7338], [0.3333, 0.6667, 0.7749], [0.6667, 0.3333, 0.2251], [0.3333, 0.6667, 0.2662], [0.0000, 0.0000, 0.5000], [0.0000, 0.0000, 0.0000]],
  "e_tot_ev_per_atom": -4.717,
  "volume_a3_per_atom": 21.929
}

# 6
{
  "formula": "TmGaRu",
  "functional": "PBE",
  "state": "optimized geometry",
  "lattice_angstrom": [[-1.7114, -0.8959, 2.9280], [1.4752, -4.0666, -0.3821], [2.2865, 2.9382, 2.2355]],
  "species": ["Tm", "Ga", "Ru"],
  "frac_coords": [[0.6667, 0.6667, 0.3333], [0.1666, 0.0000, 0.0000], [0.1667, 0.3333, 0.6667]],
  "e_form_mev_per_atom": -500.0,
  "volume_a3_per_atom": 19.097
}

# 7
{
  "formula": "Nd3Al2Hg3",
  "functional": "PBE",
  "state": "optimized geometry",
  "lattice_angstrom": [[4.6379, 0.0000, 0.0000], [-2.3190, 5.6640, 0.0000], [0.0000, 0.0000, 15.6131]],
  "species": ["Hg", "Hg", "Al", "Hg", "Al", "Nd", "Hg", "Hg", "Nd", "Nd", "Al", "Hg", "Al", "Nd", "Nd", "Nd"],
  "frac_coords": [[0.3482, 0.6965, 0.2500], [0.6236, 0.2472, 0.0371], [0.7916, 0.5832, 0.8965], [0.6236, 0.2472, 0.4629], [0.7916, 0.5832, 0.6035], [0.6325, 0.2650, 0.2500], [0.3764, 0.7528, 0.9629], [0.3764, 0.7528, 0.5371], [0.9165, 0.8330, 0.3919], [0.9165, 0.8330, 0.1081], [0.2084, 0.4168, 0.3965], [0.6518, 0.3035, 0.7500], [0.2084, 0.4168, 0.1035], [0.3675, 0.7350, 0.7500], [0.0835, 0.1670, 0.6081], [0.0835, 0.1670, 0.8919]],
  "e_form_mev_per_atom": -441.1,
  "volume_a3_per_atom": 25.634
}

# 8
{
  "formula": "Mn4TlCo",
  "functional": "PBE",
  "state": "optimized geometry",
  "lattice_angstrom": [[-4.3156, -1.4800, -1.6021], [-3.8416, 2.9147, 0.3583], [-1.9120, 1.9797, -3.9757]],
  "species": ["Mn", "Mn", "Tl", "Mn", "Mn", "Co"],
  "frac_coords": [[0.3749, 0.8753, 0.3749], [0.8753, 0.3749, 0.3749], [0.7500, 0.7500, 0.7500], [0.3749, 0.3749, 0.8753], [0.3749, 0.3749, 0.3749], [0.0000, 0.0000, 0.0000]],
  "e_form_mev_per_atom": 500.5,
  "volume_a3_per_atom": 13.324
}

# 9
{
  "formula": "LaCe2Pr3Te6",
  "functional": "PBE",
  "state": "optimized geometry",
  "lattice_angstrom": [[7.8319, -0.0066, -0.0007], [-3.9198, 6.7804, -0.0007], [-1.3057, -2.2608, 7.4194]],
  "species": ["Te", "Te", "Pr", "Pr", "Ce", "Ce", "Te", "Pr", "La", "Te", "Te", "Te"],
  "frac_coords": [[0.0835, 0.4209, 0.2500], [0.5791, 0.9165, 0.7500], [0.5000, 0.5000, 0.5000], [0.8374, 0.1626, 0.5000], [0.6671, 0.3329, 0.0000], [0.3329, 0.6671, 0.0000], [0.9165, 0.5791, 0.7500], [0.1626, 0.8374, 0.5000], [0.0000, 0.0000, 0.0000], [0.7442, 0.7442, 0.2459], [0.4209, 0.0835, 0.2500], [0.2558, 0.2558, 0.7541]],
  "e_tot_ev_per_atom": -5.613,
  "volume_a3_per_atom": 32.815
}

# 10
{
  "formula": "EuErAg",
  "functional": "PBE",
  "state": "optimized geometry",
  "lattice_angstrom": [[3.6835, 0.0000, 0.0000], [0.0000, 3.6835, 0.0000], [-1.8417, -1.8417, 6.4981]],
  "species": ["Eu", "Er", "Ag"],
  "frac_coords": [[0.0184, 0.0184, 0.0369], [0.3007, 0.3007, 0.6013], [0.6809, 0.6809, 0.3618]],
  "e_form_mev_per_atom": -157.4,
  "polymorph_energy_ev_per_atom": 0.0000,
  "volume_a3_per_atom": 29.389
}

# 11
{
  "formula": "Zr4Sb",
  "functional": "PBE",
  "state": "optimized geometry",
  "lattice_angstrom": [[5.2628, 0.0000, 0.0000], [0.0000, 5.2628, 0.0000], [0.0000, 0.0000, 5.2628]],
  "species": ["Zr", "Zr", "Sb", "Zr", "Zr"],
  "frac_coords": [[0.5000, 0.5000, 0.0000], [0.5000, 0.0000, 0.5000], [0.5000, 0.5000, 0.5000], [0.0000, 0.5000, 0.5000], [0.0000, 0.0000, 0.0000]],
  "polymorph_energy_ev_per_atom": 0.9432,
  "volume_a3_per_atom": 29.153
}

# 12
{
  "formula": "CsTlHg2Te",
  "functional": "PBE",
  "state": "optimized geometry",
  "lattice_angstrom": [[-0.3484, -2.3070, 4.9020], [4.4529, -3.4807, -1.3216], [1.8084, 6.9957, 0.4145]],
  "species": ["Tl", "Cs", "Hg", "Te", "Hg"],
  "frac_coords": [[0.1837, 0.6837, 0.3674], [0.4305, 0.4305, 0.8610], [0.0872, 0.0872, 0.1744], [0.8367, 0.8367, 0.6735], [0.6740, 0.1740, 0.3480]],
  "polymorph_energy_ev_per_atom": 0.0000,
  "volume_a3_per_atom": 38.123
}

# 13
{
  "formula": "Tb2Sm7Y2",
  "functional": "PBE",
  "state": "optimized geometry",
  "lattice_angstrom": [[5.3753, 1.6639, 2.4011], [0.9115, 8.4281, 2.0666], [0.9115, -1.0247, 8.6170]],
  "species": ["Sm", "Sm", "Sm", "Y", "Y", "Sm", "Sm", "Sm", "Sm", "Tb", "Tb"],
  "frac_coords": [[0.6389, 0.5821, 0.5821], [0.8200, 0.9445, 0.4125], [0.8200, 0.4125, 0.9445], [0.5000, 0.2149, 0.7851], [0.5000, 0.7851, 0.2149], [0.3611, 0.4179, 0.4179], [0.0000, 0.0000, 0.0000], [0.1800, 0.5875, 0.0555], [0.1800, 0.0555, 0.5875], [0.8787, 0.7682, 0.7682], [0.1213, 0.2318, 0.2318]],
  "e_form_mev_per_atom": 144.3,
  "volume_a3_per_atom": 33.741
}

# 14
{
  "formula": "LaSeO2F",
  "functional": "PBE",
  "state": "optimized geometry",
  "lattice_angstrom": [[4.6523, 0.0000, 0.0000], [0.0000, 4.6523, 0.0000], [0.0000, 0.0000, 4.6990]],
  "species": ["O", "F", "O", "La", "Se"],
  "frac_coords": [[0.5000, 0.0000, 0.0000], [0.0000, 0.0000, 0.5000], [0.0000, 0.5000, 0.0000], [0.0000, 0.0000, 0.0000], [0.5000, 0.5000, 0.5000]],
  "e_tot_ev_per_atom": -5.457,
  "volume_a3_per_atom": 20.341
}

# 15
{
  "formula": "AlSiS2",
  "functional": "PBE",
  "state": "optimized geometry",
  "lattice_angstrom": [[-3.0506, 4.4675, 6.2950], [-4.1388, 1.4557, 7.0458], [-1.0888, 2.3585, 7.8831]],
  "species": ["S", "S", "Si", "Al"],
  "frac_coords": [[0.1116, 0.1116, 0.1116], [0.8884, 0.8884, 0.8884], [0.5000, 0.5000, 0.5000], [0.0000, 0.0000, 0.0000]],
  "polymorph_energy_ev_per_atom": 0.1840,
  "volume_a3_per_atom": 18.926
}

# 16
{
  "formula": "PrTh2Tc",
  "functional": "PBE",
  "state": "optimized geometry",
  "lattice_angstrom": [[-0.9100, 2.0413, 2.7776], [1.9709, -2.0488, 2.1514], [7.0739, 5.2144, -1.5145]],
  "species": ["Tc", "Th", "Pr", "Th"],
  "frac_coords": [[0.5000, 0.5000, 0.0000], [0.0000, 0.0000, 0.1969], [0.5000, 0.5000, 0.5000], [0.0000, 0.0000, 0.8031]],
  "e_form_mev_per_atom": 24.7,
  "polymorph_energy_ev_per_atom": 0.1147,
  "volume_a3_per_atom": 28.336
}

# 17
{
  "formula": "Li2Nd3Cd9",
  "functional": "PBE",
  "state": "optimized geometry",
  "lattice_angstrom": [[-3.4907, -1.2064, -3.1529], [3.2410, -6.5306, -4.8292], [-3.6978, -7.2766, 3.1387]],
  "species": ["Cd", "Cd", "Cd", "Nd", "Li", "Cd", "Cd", "Li", "Cd", "Nd", "Cd", "Cd", "Cd", "Nd"],
  "frac_coords": [[0.1364, 0.1431, 0.5840], [0.0000, 0.5000, 0.5000], [0.3576, 0.2774, 0.0073], [0.0000, 0.0000, 0.0000], [0.5000, 0.3311, 0.6689], [0.6424, 0.7226, 0.9927], [0.8636, 0.8569, 0.4160], [0.5000, 0.6689, 0.3311], [0.3576, 0.0073, 0.2774], [0.7100, 0.2900, 0.2900], [0.8636, 0.4160, 0.8569], [0.6424, 0.9927, 0.7226], [0.1364, 0.5840, 0.1431], [0.2900, 0.7100, 0.7100]],
  "e_form_mev_per_atom": -268.8,
  "volume_a3_per_atom": 23.960
}

# 18
{
  "formula": "KSmIrO6",
  "functional": "PBE",
  "state": "optimized geometry",
  "lattice_angstrom": [[5.7258, 0.0002, 0.0000], [2.8631, 4.9586, -0.0002], [0.0000, -0.0004, 5.7344]],
  "species": ["Sm", "K", "O", "O", "O", "O", "O", "O", "Ir"],
  "frac_coords": [[0.6666, 0.6667, 0.5000], [0.0000, 0.0000, 0.0000], [0.3511, 0.0530, 0.6895], [0.0530, 0.5958, 0.6895], [0.5958, 0.0530, 0.3105], [0.5958, 0.3512, 0.6895], [0.3512, 0.5958, 0.3104], [0.0530, 0.3512, 0.3105], [0.3333, 0.3333, 0.5000]],
  "e_tot_ev_per_atom": -6.364,
  "volume_a3_per_atom": 18.090
}

# 19
{
  "formula": "Li5Pm3Pt12",
  "functional": "PBE",
  "state": "optimized geometry",
  "lattice_angstrom": [[12.9350, 0.0000, 0.0000], [-4.3117, 12.1952, 0.0000], [-4.3117, -6.0976, 10.5613]],
  "species": ["Li", "Pt", "Pt", "Li", "Li", "Pt", "Pt", "Pt", "Pt", "Pt", "Pt", "Pt", "Pt", "Pt", "Li", "Li", "Pm", "Li", "Pt", "Pt", "Pt", "Li", "Pt", "Pt", "Li", "Li", "Pt", "Pt", "Pt", "Pt", "Pm", "Li", "Pt", "Pt", "Pt", "Pt", "Pt", "Pt", "Pt", "Pm", "Pt", "Pm", "Pt", "Pt", "Pt", "Li", "Pm", "Li", "Li", "Pm", "Pm", "Pm", "Pm", "Pt", "Pt", "Pm", "Li", "Li", "Pt", "Pt", "Pt", "Pt", "Li", "Li", "Pt", "Pt", "Pt", "Pt", "Pt", "Li", "Pm", "Pm", "Pt", "Pt", "Li", "Pt", "Li", "Pt", "Pt", "Pt"],
  "frac_coords": [[0.2500, 0.8750, 0.1250], [0.1295, 0.9493, 0.4452], [0.8705, 0.0507, 0.5548], [0.3750, 0.1250, 0.7500], [0.1250, 0.3750, 0.2500], [0.9452, 0.3157, 0.4959], [0.5548, 0.0041, 0.1843], [0.4452, 0.4493, 0.1295], [0.4493, 0.0041, 0.3198], [0.5548, 0.5507, 0.8705], [0.8157, 0.4959, 0.4452], [0.0507, 0.8705, 0.0548], [0.9959, 0.4452, 0.3157], [0.4959, 0.8157, 0.9452], [0.6250, 0.8750, 0.2500], [0.5000, 0.0000, 0.5000], [0.3750, 0.6250, 0.2500], [0.7500, 0.6250, 0.3750], [0.1802, 0.1295, 0.6843], [0.4452, 0.9959, 0.8157], [0.8705, 0.8198, 0.8157], [0.5000, 0.5000, 0.5000], [0.3198, 0.5041, 0.4493], [0.9452, 0.6295, 0.9493], [0.5000, 0.5000, 0.0000], [0.2500, 0.3750, 0.6250], [0.5507, 0.5548, 0.3705], [0.0548, 0.3705, 0.0507], [0.6843, 0.6295, 0.1802], [0.0041, 0.4493, 0.8198], [0.6250, 0.2500, 0.3750], [0.0000, 0.5000, 0.0000], [0.1802, 0.0507, 0.9959], [0.3705, 0.0548, 0.5507], [0.5041, 0.1843, 0.0548], [0.0041, 0.5548, 0.6843], [0.3198, 0.8157, 0.3705], [0.9959, 0.5507, 0.1802], [0.9493, 0.1295, 0.9452], [0.7500, 0.3750, 0.1250], [0.0507, 0.1802, 0.4959], [0.1250, 0.2500, 0.8750], [0.6843, 0.0548, 0.0041], [0.6802, 0.1843, 0.6295], [0.4493, 0.4452, 0.6295], [0.3750, 0.2500, 0.1250], [0.2500, 0.6250, 0.8750], [0.1250, 0.7500, 0.3750], [0.8750, 0.2500, 0.6250], [0.8750, 0.7500, 0.1250], [0.8750, 0.1250, 0.2500], [0.3750, 0.7500, 0.6250], [0.1250, 0.8750, 0.7500], [0.8198, 0.8705, 0.3157], [0.6802, 0.4959, 0.5507], [0.7500, 0.8750, 0.6250], [0.6250, 0.7500, 0.8750], [0.8750, 0.6250, 0.7500], [0.0548, 0.6843, 0.5041], [0.1843, 0.5041, 0.5548], [0.5507, 0.9959, 0.6802], [0.8198, 0.9493, 0.0041], [0.0000, 0.5000, 0.5000], [0.5000, 0.0000, 0.0000], [0.4959, 0.6802, 0.0507], [0.6295, 0.9452, 0.4493], [0.1843, 0.6802, 0.1295], [0.3157, 0.9452, 0.9959], [0.3705, 0.3157, 0.3198], [0.7500, 0.1250, 0.8750], [0.6250, 0.3750, 0.7500], [0.2500, 0.1250, 0.3750], [0.6295, 0.6843, 0.6802], [0.1295, 0.1802, 0.1843], [0.0000, 0.0000, 0.0000], [0.8157, 0.3198, 0.8705], [0.0000, 0.0000, 0.5000], [0.5041, 0.3198, 0.9493], [0.3157, 0.3705, 0.8198], [0.9493, 0.8198, 0.5041]],
  "e_form_mev_per_atom": -13.7,
  "volume_a3_per_atom": 20.825
}

# 20
{
  "formula": "NiMoAs2",
  "functional": "PBE",
  "state": "optimized geometry",
  "lattice_angstrom": [[4.2739, 0.0000, 0.0000], [0.0000, 4.2739, 0.0000], [0.0000, 0.0000, 3.1990]],
  "species": ["As", "Mo", "Ni", "As"],
  "frac_coords": [[0.0000, 0.0000, 0.0000], [0.5000, 0.0000, 0.5000], [0.0000, 0.5000, 0.5000], [0.5000, 0.5000, 0.0000]],
  "e_form_mev_per_atom": 20.6,
  "volume_a3_per_atom": 14.608
}

# 21
{
  "formula": "Dy7CdRh4",
  "functional": "PBE",
  "state": "optimized geometry",
  "lattice_angstrom": [[5.4865, 0.0000, 0.0000], [2.7433, 7.9603, 0.3782], [2.7433, 0.7299, 6.7059]],
  "species": ["Dy", "Dy", "Dy", "Dy", "Rh", "Rh", "Cd", "Rh", "Dy", "Dy", "Dy", "Rh"],
  "frac_coords": [[0.2107, 0.1207, 0.4578], [0.6778, 0.3725, 0.2719], [0.7893, 0.8793, 0.5422], [0.3222, 0.6275, 0.7281], [0.4338, 0.7781, 0.3542], [0.2975, 0.3426, 0.0625], [0.0000, 0.0000, 0.0000], [0.7025, 0.6574, 0.9375], [0.9239, 0.3733, 0.7789], [0.0761, 0.6267, 0.2211], [0.5000, 0.0000, 0.0000], [0.5662, 0.2219, 0.6458]],
  "e_form_mev_per_atom": -458.2,
  "volume_a3_per_atom": 24.280
}

# 22
{
  "formula": "Rb2BaLiF",
  "functional": "PBE",
  "state": "optimized geometry",
  "lattice_angstrom": [[6.4319, 0.0000, 0.0000], [0.0000, 6.4319, 0.0000], [0.0000, 0.0000, 5.3523]],
  "species": ["Ba", "Li", "Rb", "Rb", "F"],
  "frac_coords": [[0.0000, 0.0000, 0.5000], [0.5000, 0.5000, 0.5000], [0.0000, 0.5000, 0.0000], [0.5000, 0.0000, 0.0000], [0.0000, 0.0000, 0.0000]],
  "e_tot_ev_per_atom": -2.472,
  "volume_a3_per_atom": 44.284
}